Computed, not measured: a relaxed structure of Tb3RuAu at the PBE level of DFT.

CIF file:
```
data_Tb3RuAu
_chemical_formula_sum 'Tb12 Ru4 Au4'
_cell_length_a 8.2727
_cell_length_b 7.2742
_cell_length_c 8.7136
_cell_angle_alpha 90.00
_cell_angle_beta 74.31
_cell_angle_gamma 90.00
_symmetry_space_group_name_H-M 'P 1'
_symmetry_Int_Tables_number 1
loop_
_symmetry_equiv_pos_as_xyz
'x,y,z'
loop_
_atom_site_label
_atom_site_type_symbol
_atom_site_fract_x
_atom_site_fract_y
_atom_site_fract_z
Ru1 Ru 0.4726 0.8138 0.5742
Ru2 Ru 0.5274 0.1862 0.4258
Ru3 Ru 0.9725 0.6862 0.5742
Ru4 Ru 0.0275 0.3138 0.4258
Tb1 Tb 0.7873 0.9932 0.5399
Tb2 Tb 0.9751 0.1827 0.1508
Tb3 Tb 0.5249 0.6827 0.8492
Tb4 Tb 0.4083 0.1484 0.7648
Tb5 Tb 0.5917 0.8516 0.2352
Tb6 Tb 0.2873 0.5068 0.5399
Tb7 Tb 0.9083 0.3516 0.7648
Tb8 Tb 0.0249 0.8173 0.8492
Tb9 Tb 0.7127 0.4932 0.4601
Tb10 Tb 0.4751 0.3173 0.1508
Tb11 Tb 0.2127 0.0068 0.4601
Tb12 Tb 0.0917 0.6484 0.2352
Au1 Au 0.6972 0.0429 0.9170
Au2 Au 0.3028 0.9571 0.0830
Au3 Au 0.1972 0.4572 0.9170
Au4 Au 0.8028 0.5428 0.0830
```

E ... -116.07 eV for the cell shown
Formation energy ... -0.51 eV per atom
DOS at the Fermi energy ... 0.803 states/eV/atom

=====

Computed, not measured: a relaxed structure of TeAsPb2S5 at the PBE level of DFT.

CIF file:
```
data_TeAsPb2S5
_chemical_formula_sum 'Te2 As2 Pb4 S10'
_cell_length_a 4.6533
_cell_length_b 8.9207
_cell_length_c 12.3793
_cell_angle_alpha 90.00
_cell_angle_beta 90.00
_cell_angle_gamma 105.12
_symmetry_space_group_name_H-M 'P 1'
_symmetry_Int_Tables_number 1
loop_
_symmetry_equiv_pos_as_xyz
'x,y,z'
loop_
_atom_site_label
_atom_site_type_symbol
_atom_site_fract_x
_atom_site_fract_y
_atom_site_fract_z
S1 S 0.3376 0.6752 0.3398
S2 S 0.7217 0.4434 0.1579
S3 S 0.3569 0.7139 0.0285
S4 S 0.2783 0.5566 0.6579
S5 S 0.5328 0.0655 0.2677
S6 S 0.9768 0.9535 0.4754
S7 S 0.0232 0.0465 0.9754
S8 S 0.6624 0.3248 0.8398
S9 S 0.4672 0.9345 0.7677
S10 S 0.6431 0.2861 0.5285
Pb1 Pb 0.1165 0.2330 0.7065
Pb2 Pb 0.1187 0.2373 0.3624
Pb3 Pb 0.8835 0.7670 0.2065
Pb4 Pb 0.8813 0.7627 0.8624
As1 As 0.5431 0.0861 0.9162
As2 As 0.4569 0.9139 0.4162
Te1 Te 0.2196 0.4393 0.0696
Te2 Te 0.7804 0.5607 0.5696
```

E ... -75.25 eV for the cell shown
Formation energy from raw total energies ... -0.198 eV per atom
DOS at the Fermi energy ... 0.138 states/eV/atom

=====

Computed, not measured: a relaxed structure of MgScBeOs2 at the PBE level of DFT.

CIF file:
```
data_MgScBeOs2
_chemical_formula_sum 'Mg1 Sc1 Be1 Os2'
_cell_length_a 4.2351
_cell_length_b 4.4332
_cell_length_c 4.2351
_cell_angle_alpha 90.00
_cell_angle_beta 90.00
_cell_angle_gamma 90.00
_symmetry_space_group_name_H-M 'P 1'
_symmetry_Int_Tables_number 1
loop_
_symmetry_equiv_pos_as_xyz
'x,y,z'
loop_
_atom_site_label
_atom_site_type_symbol
_atom_site_fract_x
_atom_site_fract_y
_atom_site_fract_z
Sc1 Sc 0.0000 0.5000 0.0000
Os1 Os 0.5000 0.0000 0.0000
Os2 Os 0.0000 0.0000 0.5000
Be1 Be 0.0000 0.0000 0.0000
Mg1 Mg 0.5000 0.5000 0.5000
```

E ... -32.55 eV for the cell shown
Formation energy ... 0.31 eV per atom
DOS at the Fermi energy ... 0.963 states/eV/atom

=====

Computed, not measured: a relaxed structure of Pm8AgOs2 at the PBE level of DFT.

CIF file:
```
data_Pm8AgOs2
_chemical_formula_sum 'Pm8 Ag1 Os2'
_cell_length_a 5.8291
_cell_length_b 7.8846
_cell_length_c 7.8846
_cell_angle_alpha 111.98
_cell_angle_beta 98.18
_cell_angle_gamma 98.18
_symmetry_space_group_name_H-M 'P 1'
_symmetry_Int_Tables_number 1
loop_
_symmetry_equiv_pos_as_xyz
'x,y,z'
loop_
_atom_site_label
_atom_site_type_symbol
_atom_site_fract_x
_atom_site_fract_y
_atom_site_fract_z
Pm1 Pm 0.4091 0.9346 0.6727
Pm2 Pm 0.4091 0.6727 0.9346
Pm3 Pm 0.2051 0.3834 0.3834
Pm4 Pm 0.7942 0.6228 0.6228
Pm5 Pm 0.9997 0.2443 0.7617
Pm6 Pm 0.5902 0.3334 0.0716
Pm7 Pm 0.9997 0.7617 0.2443
Pm8 Pm 0.5902 0.0716 0.3334
Os1 Os 0.4997 0.6942 0.3120
Os2 Os 0.4997 0.3120 0.6942
Ag1 Ag 0.0032 0.0031 0.0031
```

E ... -63.86 eV for the cell shown
Formation energy ... -0.05 eV per atom
DOS at the Fermi energy ... 1.199 states/eV/atom

=====

Computed, not measured: a relaxed structure of DyGa4Pt2Rh at the PBE level of DFT.

CIF file:
```
data_DyGa4Pt2Rh
_chemical_formula_sum 'Dy1 Ga4 Pt2 Rh1'
_cell_length_a 4.2817
_cell_length_b 4.2817
_cell_length_c 8.9544
_cell_angle_alpha 76.17
_cell_angle_beta 76.17
_cell_angle_gamma 60.00
_symmetry_space_group_name_H-M 'P 1'
_symmetry_Int_Tables_number 1
loop_
_symmetry_equiv_pos_as_xyz
'x,y,z'
loop_
_atom_site_label
_atom_site_type_symbol
_atom_site_fract_x
_atom_site_fract_y
_atom_site_fract_z
Pt1 Pt 0.7609 0.7609 0.7172
Pt2 Pt 0.2391 0.2391 0.2828
Rh1 Rh 0.5000 0.5000 0.5000
Ga1 Ga 0.6030 0.6030 0.1911
Ga2 Ga 0.3970 0.3970 0.8089
Ga3 Ga 0.1323 0.1323 0.6030
Ga4 Ga 0.8677 0.8677 0.3970
Dy1 Dy 0.0000 0.0000 0.0000
```

E ... -41.85 eV for the cell shown
Formation energy ... -0.71 eV per atom
DOS at the Fermi energy ... 0.575 states/eV/atom

=====

Computed, not measured: a relaxed structure of H2RuF at the PBE level of DFT.

CIF file:
```
data_H2RuF
_chemical_formula_sum 'H4 Ru2 F2'
_cell_length_a 5.9674
_cell_length_b 5.9674
_cell_length_c 4.6899
_cell_angle_alpha 50.49
_cell_angle_beta 50.49
_cell_angle_gamma 90.00
_symmetry_space_group_name_H-M 'P 1'
_symmetry_Int_Tables_number 1
loop_
_symmetry_equiv_pos_as_xyz
'x,y,z'
loop_
_atom_site_label
_atom_site_type_symbol
_atom_site_fract_x
_atom_site_fract_y
_atom_site_fract_z
Ru1 Ru 0.7500 0.2500 0.5000
Ru2 Ru 0.0000 0.0000 0.0000
H1 H 0.8750 0.9974 0.7500
H2 H 0.3750 0.2526 0.7500
H3 H 0.0026 0.6250 0.2500
H4 H 0.7474 0.1250 0.2500
F1 F 0.2500 0.7500 0.5000
F2 F 0.5000 0.5000 0.0000
```

E ... -36.11 eV for the cell shown
DOS at the Fermi energy ... 0.639 states/eV/atom

=====

Computed, not measured: a relaxed structure of Ca2GaSnPb at the PBE level of DFT.

CIF file:
```
data_Ca2GaSnPb
_chemical_formula_sum 'Ca2 Ga1 Sn1 Pb1'
_cell_length_a 5.9173
_cell_length_b 5.7404
_cell_length_c 5.9173
_cell_angle_alpha 90.00
_cell_angle_beta 90.00
_cell_angle_gamma 90.00
_symmetry_space_group_name_H-M 'P 1'
_symmetry_Int_Tables_number 1
loop_
_symmetry_equiv_pos_as_xyz
'x,y,z'
loop_
_atom_site_label
_atom_site_type_symbol
_atom_site_fract_x
_atom_site_fract_y
_atom_site_fract_z
Ca1 Ca 0.5000 0.0000 0.0000
Ca2 Ca 0.0000 0.0000 0.5000
Sn1 Sn 0.0000 0.0000 0.0000
Ga1 Ga 0.5000 0.5000 0.5000
Pb1 Pb 0.0000 0.5000 0.0000
```

E ... -13.88 eV for the cell shown
Formation energy ... 0.17 eV per atom
DOS at the Fermi energy ... 0.915 states/eV/atom

=====

Computed, not measured: a relaxed structure of SnTePd at the PBE level of DFT.

CIF file:
```
data_SnTePd
_chemical_formula_sum 'Sn8 Te8 Pd8'
_cell_length_a 6.6562
_cell_length_b 6.6982
_cell_length_c 13.1185
_cell_angle_alpha 90.00
_cell_angle_beta 90.00
_cell_angle_gamma 90.00
_symmetry_space_group_name_H-M 'P 1'
_symmetry_Int_Tables_number 1
loop_
_symmetry_equiv_pos_as_xyz
'x,y,z'
loop_
_atom_site_label
_atom_site_type_symbol
_atom_site_fract_x
_atom_site_fract_y
_atom_site_fract_z
Sn1 Sn 0.6417 0.6825 0.9362
Sn2 Sn 0.8583 0.3175 0.4362
Sn3 Sn 0.3583 0.3175 0.0638
Sn4 Sn 0.8583 0.1825 0.9362
Sn5 Sn 0.3583 0.1825 0.5638
Sn6 Sn 0.6417 0.8175 0.4362
Sn7 Sn 0.1417 0.6825 0.5638
Sn8 Sn 0.1417 0.8175 0.0638
Pd1 Pd 0.5025 0.3231 0.8711
Pd2 Pd 0.9975 0.8231 0.8711
Pd3 Pd 0.4975 0.8231 0.6289
Pd4 Pd 0.5025 0.1769 0.3711
Pd5 Pd 0.0025 0.1769 0.1289
Pd6 Pd 0.9975 0.6769 0.3711
Pd7 Pd 0.4975 0.6769 0.1289
Pd8 Pd 0.0025 0.3231 0.6289
Te1 Te 0.1265 0.0529 0.3211
Te2 Te 0.6265 0.0529 0.1789
Te3 Te 0.8735 0.9471 0.6789
Te4 Te 0.8735 0.5529 0.1789
Te5 Te 0.3735 0.5529 0.3211
Te6 Te 0.1265 0.4471 0.8211
Te7 Te 0.3735 0.9471 0.8211
Te8 Te 0.6265 0.4471 0.6789
```

E ... -109.26 eV for the cell shown
Formation energy from raw total energies ... -0.440 eV per atom
DOS at the Fermi energy ... 0.197 states/eV/atom